Material: Mn2CrHgP
Method: DFT, PBE
State: optimized geometry

Results
The space-group type is P4/mmm (123). Its energy above the lowest structure with this stoichiometry is 0.557 eV per atom. The formation energy is 1724 meV/atom. Its theoretical density is 5.53 g/cm³.

Unit cell a=4.930 b=4.861 c=4.930 alpha=90.00 beta=90.00 gamma=90.00
Site moments in Bohr magnetons follow the coordinates.
Fractional coordinates of all 5 atoms:
P  0.500  0.500  0.500  -0.06
Hg  0.000  0.000  0.000  -0.02
Cr  0.000  0.500  0.000  -0.21
Mn  0.500  0.000  0.000  3.99
Mn  0.000  0.000  0.500  4.24

***

Material: Mn2CrHgP
Method: DFT, PBE
State: optimized geometry

Results
The space-group type is P4/mmm (123). Its energy above the lowest structure with this stoichiometry is 0.000 eV per atom. The formation energy is 1167 meV/atom. Its theoretical density is 6.58 g/cm³.

Unit cell a=4.427 b=5.064 c=4.427 alpha=90.00 beta=90.00 gamma=90.00
Site moments in Bohr magnetons follow the coordinates.
Fractional coordinates of all 5 atoms:
Cr  0.000  0.000  0.000  -2.65
Mn  0.000  0.000  0.500  3.19
Mn  0.500  0.000  0.000  3.22
P  0.500  0.500  0.500  -0.16
Hg  0.000  0.500  0.000  -0.04

***

Material: MnCrHgTe3
Method: DFT, PBE
State: optimized geometry

Results
The space-group type is P2_1/m (11). Its theoretical density is 6.51 g/cm³. As for the uncorrected formation energy: -0.08 eV/atom.

Unit cell a=4.009 b=9.305 c=10.672 alpha=117.72 beta=90.00 gamma=90.00
Site moments in Bohr magnetons follow the coordinates.
Fractional coordinates of all 12 atoms:
Te  0.250  0.768  0.454  -0.08
Te  0.250  0.527  0.866  -0.18
Te  0.750  0.232  0.546  -0.08
Cr  0.750  0.318  0.849  3.00
Te  0.750  0.885  0.140  -0.13
Hg  0.250  0.245  0.250  -0.04
Mn  0.250  0.094  0.612  3.60
Mn  0.750  0.906  0.388  3.60
Hg  0.750  0.755  0.750  -0.04
Te  0.250  0.115  0.860  -0.13
Cr  0.250  0.682  0.151  3.00
Te  0.750  0.473  0.134  -0.18

***

Material: Cr2HgMo
Method: DFT, PBE
State: optimized geometry

Results
The space-group type is C2/m (12). The formation energy is 581 meV/atom. Its theoretical density is 10.18 g/cm³.

Unit cell a=4.805 b=4.805 c=5.059 alpha=81.93 beta=81.93 gamma=34.42
Fractional coordinates of all 4 atoms:
Mo  0.250  0.250  0.250
Cr  0.004  0.004  0.087
Cr  0.496  0.496  0.413
Hg  0.750  0.750  0.750

***

Material: Cr2HgMo
Method: DFT, PBE
State: optimized geometry

Results
The space-group type is I-4m2 (119). The formation energy is 602 meV/atom. Its theoretical density is 10.85 g/cm³.

Unit cell a=4.971 b=4.971 c=4.971 alpha=134.60 beta=134.60 gamma=66.15
Site moments in Bohr magnetons follow the coordinates.
Fractional coordinates of all 4 atoms:
Hg  0.500  0.500  0.000  0.00
Cr  0.000  0.000  0.000  2.05
Cr  0.250  0.750  0.500  -1.77
Mo  0.750  0.250  0.500  0.11

***

Material: CrHg4Mo
Method: DFT, PBE
State: optimized geometry

Results
The space-group type is F-43m (216). The formation energy is 815 meV/atom. Its theoretical density is 12.19 g/cm³.

Unit cell a=5.679 b=5.679 c=5.679 alpha=60.00 beta=60.00 gamma=60.00
Site moments in Bohr magnetons follow the coordinates.
Fractional coordinates of all 6 atoms:
Hg  0.375  0.875  0.375  -0.04
Hg  0.375  0.375  0.375  -0.04
Hg  0.875  0.375  0.375  -0.04
Cr  0.000  0.000  0.000  3.74
Mo  0.750  0.750  0.750  -3.08
Hg  0.375  0.375  0.875  -0.04